Run w
CaTm2Co (GGA-PBE, relaxed); space-group type = P4/mmm; D(E_F) = 3.209 states/eV/cell
1.0
3.3640 0.0000 0.0000
0.0000 3.3640 0.0000
0.0000 0.0000 9.3359
Ca Tm Co
1 2 1
Cartesian
0.0000 0.0000 0.0000
1.6820 1.6820 3.0899
1.6820 1.6820 6.2460
0.0000 0.0000 4.6679

***

Run x
CaTm2Co (GGA-PBE, relaxed); space-group type = R-3m; D(E_F) = 4.233 states/eV/cell
1.0
1.8762 1.0832 10.2555
-1.8762 1.0832 10.2555
0.0000 -2.1665 10.2555
Ca Tm Co
1 2 1
Cartesian
0.0000 0.0000 0.0000
0.0000 0.0000 3.6802
0.0000 0.0000 27.0863
0.0000 0.0000 15.3832

***

Of them, run x has the lowest stability.

***

Run w
Ca2VCo (GGA-PBE, relaxed); space-group type = I-42d; D(E_F) = 9.724 states/eV/cell
1.0
-5.3124 5.3124 2.1455
5.3124 -5.3124 2.1455
5.3124 5.3124 -2.1455
Ca V Co
4 2 2
Cartesian
0.8264 2.6562 0.5364
-2.6562 4.4860 1.6091
-0.8264 7.9686 0.5364
2.6562 6.1388 1.6091
5.3124 0.0000 1.0728
0.0000 0.0000 2.1455
0.0000 0.0000 0.0000
0.0000 5.3124 1.0728

***

Run x
Ca2VCo (GGA-PBE, relaxed); space-group type = Fm-3m; D(E_F) = 8.853 states/eV/cell
1.0
0.0000 3.5680 3.5680
3.5680 0.0000 3.5680
3.5680 3.5680 0.0000
Ca V Co
2 1 1
Cartesian
1.7840 1.7840 1.7840
5.3520 5.3520 5.3520
0.0000 0.0000 0.0000
3.5680 3.5680 3.5680

***

Of them, run x has the lowest stability.

***

Run w
Ca2CoW (GGA-PBE, relaxed); space-group type = C2/m; D(E_F) = 4.523 states/eV/cell
1.0
2.9585 -4.8162 0.0000
2.9585 4.8162 0.0000
-0.0075 0.0000 2.8584
Ca Co W
2 1 1
Cartesian
1.4793 2.4081 0.0000
1.4793 -2.4081 0.0000
-0.0037 0.0000 1.4292
2.9548 0.0000 1.4292

***

Run x
Ca2CoW (GGA-PBE, relaxed); space-group type = P4/mmm; D(E_F) = 5.059 states/eV/cell
1.0
2.9218 0.0000 0.0000
0.0000 2.9218 0.0000
0.0000 0.0000 9.3330
Ca Co W
2 1 1
Cartesian
0.0000 0.0000 2.1499
0.0000 0.0000 7.1832
1.4609 1.4609 0.0000
1.4609 1.4609 4.6665

***

Run y
Ca2CoW (GGA-PBE, relaxed); space-group type = Pmmm; D(E_F) = 3.973 states/eV/cell
1.0
2.8526 0.0000 0.0000
0.0000 4.8390 0.0000
0.0000 0.0000 5.8246
Ca Co W
2 1 1
Cartesian
0.0000 0.0000 1.4348
0.0000 0.0000 4.3899
1.4263 2.4195 0.0000
1.4263 2.4195 2.9123

***

Of them, run w has the lowest stability.